# PuFe2RhO6

Crystalline PuFe2RhO6 at its relaxed geometry (PBE with a Hubbard U, Alexandria).

Lattice parameters (Å, degrees): 5.448 5.459 9.585 90.00 124.38 90.00
Fractional positions:
Pu 0.000 0.000 0.000
Pu 0.000 0.500 0.500
Fe 0.263 0.031 0.749
Fe 0.263 0.469 0.249
Fe 0.737 0.531 0.751
Fe 0.737 0.969 0.251
Rh 0.500 0.000 0.500
Rh 0.500 0.500 0.000
O 0.111 0.166 0.438
O 0.111 0.334 0.938
O 0.265 0.678 0.428
O 0.265 0.822 0.928
O 0.388 0.100 0.262
O 0.388 0.400 0.762
O 0.612 0.600 0.238
O 0.612 0.900 0.738
O 0.735 0.178 0.072
O 0.735 0.322 0.572
O 0.889 0.666 0.062
O 0.889 0.834 0.562

Properties
symmetry: P2_1/c
DFT total energy: -158.467 eV per cell